Density functional theory data (GGA-PBEsol) for a relaxed IrRhW crystal.

```
3
Lattice="2.724 0.000 0.000 0.000 3.829 0.000 -1.362 -1.915 4.121" Properties=species:S:1:pos:R:3 pbc="T T T"
Rh 1.362 1.915 1.378
Ir 1.362 1.915 4.109
W 0.000 0.000 2.755
```

=====

Density functional theory data (GGA-PBEsol) for a relaxed Ca2MgMoO6 crystal.

```
10
Lattice="-1.626 -1.901 4.880 -4.004 -3.735 0.292 1.162 -5.157 1.459" Properties=species:S:1:pos:R:3 pbc="T T T"
O -3.973 -5.519 4.266
O -1.328 -6.247 4.863
O -3.140 -4.546 1.767
O -2.546 -7.186 2.514
Mg -2.234 -5.397 3.315
Mo 0.000 0.000 0.000
Ca -1.117 -2.698 1.658
O -0.496 -5.274 2.365
O -1.923 -3.607 4.116
Ca -3.351 -8.095 4.973
```

Summary:
Raw formation energy (meV/atom): -2603.4

=====

Computed values of total DFT energy (no corrections) (unit: eV/atom) for the preceding records, in sequence: -10.819, -7.528.